(1)
# Li2TcNi

An optimized crystal structure of Li2TcNi (PBE-GGA, the Alexandria database).

Cell: 4.4453 4.4453 4.9682 Å, 95.85 95.85 32.86°
Atoms (fractional coordinates):
Li  0.0000  0.0000  0.0000
Li  0.2412  0.2412  0.8014
Tc  0.4818  0.4818  0.4757
Ni  0.7355  0.7355  0.3133

Properties
total energy = -4.835 eV/atom
DOS at the Fermi energy = 2.91 states/eV/f.u.
excess energy over the best structure of this formula in the dataset = 74 meV/atom
energy of formation from the pure elements = 0.159 eV/atom
spin magnetization = 0.000 μB/cell

(2)
# BeMoAs2

An optimized crystal structure of BeMoAs2 (PBE-GGA, the Alexandria database).

Cell: 4.3158 4.3158 3.2225 Å, 90.00 90.00 99.17°
Atoms (fractional coordinates):
Be  0.0000  0.0000  0.0000
Mo  0.5000  0.5000  0.0000
As  0.0000  0.5000  0.5000
As  0.5000  0.0000  0.5000

Properties
total energy = -5.655 eV/atom
DOS at the Fermi energy = 2.12 states/eV/f.u.
energy of formation from the pure elements = 0.309 eV/atom
spin magnetization = 0.000 μB/cell

(3)
# BaIrS2Cl

An optimized crystal structure of BaIrS2Cl (PBE-GGA, the Alexandria database).

Cell: 5.3387 5.3387 4.3276 Å, 90.00 90.00 90.00°
Atoms (fractional coordinates):
Ba  0.0000  0.0000  0.0000
Ir  0.5000  0.5000  0.0000
S  0.0000  0.5000  0.5000
S  0.5000  0.0000  0.5000
Cl  0.5000  0.5000  0.5000

Properties
total energy = -3.917 eV/atom
formation energy (no corrections) = 260 meV per atom
DOS at the Fermi energy = 4.62 states/eV/f.u.
excess energy over the best structure of this formula in the dataset = 1093 meV/atom
spin magnetization = 0.532 μB/cell

(4)
# Nd2P4Ru5

An optimized crystal structure of Nd2P4Ru5 (PBE-GGA, the Alexandria database).

Cell: 8.2499 7.1380 5.7607 Å, 78.73 58.05 43.22°
Atoms (fractional coordinates):
Nd  0.1329  0.1329  0.8671
Nd  0.8671  0.8671  0.1329
P  0.2138  0.5220  0.4780
P  0.4780  0.7862  0.2138
P  0.5220  0.2138  0.7862
P  0.7862  0.4780  0.5220
Ru  0.0000  0.0000  0.5000
Ru  0.2500  0.2500  0.2500
Ru  0.5000  0.5000  0.0000
Ru  0.5000  0.5000  0.5000
Ru  0.7500  0.7500  0.7500

Properties
total energy = -7.842 eV/atom
DOS at the Fermi energy = 7.17 states/eV/f.u.
energy of formation from the pure elements = -0.792 eV/atom
spin magnetization = 0.000 μB/cell

(5)
# ErZn6Co6

An optimized crystal structure of ErZn6Co6 (PBE-GGA, the Alexandria database).

Cell: 6.4991 6.4991 6.4991 Å, 135.71 98.26 98.08°
Atoms (fractional coordinates):
Er  0.0000  0.0000  0.0000
Zn  0.1993  0.5000  0.6993
Zn  0.3378  0.3378  0.0000
Zn  0.3492  0.0000  0.3492
Zn  0.6508  0.0000  0.6508
Zn  0.6622  0.6622  0.0000
Zn  0.8007  0.5000  0.3007
Co  0.0000  0.0000  0.5000
Co  0.0000  0.5000  0.0000
Co  0.2345  0.7345  0.5000
Co  0.5000  0.0000  0.0000
Co  0.5000  0.5000  0.5000
Co  0.7655  0.2655  0.5000

Properties
total energy = -4.347 eV/atom
DOS at the Fermi energy = 9.81 states/eV/f.u.
energy of formation from the pure elements = -0.129 eV/atom
spin magnetization = 7.375 μB/cell

(6)
# Na3MgB2O6

An optimized crystal structure of Na3MgB2O6 (PBE-GGA, the Alexandria database).

Cell: 5.2107 5.2107 6.0830 Å, 90.00 90.00 120.00°
Atoms (fractional coordinates):
Na  0.0000  0.0000  0.0000
Na  0.3333  0.6667  0.7331
Na  0.6667  0.3333  0.2669
Mg  0.0000  0.0000  0.5000
B  0.3333  0.6667  0.2814
B  0.6667  0.3333  0.7186
O  0.1809  0.3618  0.2825
O  0.1809  0.8191  0.2825
O  0.3618  0.1809  0.7175
O  0.6382  0.8191  0.2825
O  0.8191  0.1809  0.7175
O  0.8191  0.6382  0.7175

Properties
total energy = -6.183 eV/atom
formation energy (no corrections) = -2129 meV per atom
DOS at the Fermi energy = 4.59 states/eV/f.u.
spin magnetization = 0.971 μB/cell

(7)
# Hf2Ti3Tl

An optimized crystal structure of Hf2Ti3Tl (PBE-GGA, the Alexandria database).

Cell: 7.0391 7.0391 9.7253 Å, 115.43 115.43 33.58°
Atoms (fractional coordinates):
Hf  0.0379  0.0379  0.3666
Hf  0.2981  0.2981  0.6357
Hf  0.7019  0.7019  0.3643
Hf  0.9621  0.9621  0.6334
Ti  0.1122  0.1122  0.1136
Ti  0.2145  0.2145  0.8902
Ti  0.4551  0.4551  0.1101
Ti  0.5449  0.5449  0.8899
Ti  0.7855  0.7855  0.1098
Ti  0.8878  0.8878  0.8864
Tl  0.3643  0.3643  0.3541
Tl  0.6357  0.6357  0.6459

Properties
total energy = -7.612 eV/atom
DOS at the Fermi energy = 7.68 states/eV/f.u.
excess energy over the best structure of this formula in the dataset = 4 meV/atom
energy of formation from the pure elements = 0.048 eV/atom
spin magnetization = 0.000 μB/cell

(8)
# Co2N2Cl3

An optimized crystal structure of Co2N2Cl3 (PBE-GGA, the Alexandria database).

Cell: 3.6112 6.2599 8.6836 Å, 83.69 80.75 73.70°
Atoms (fractional coordinates):
Co  0.1727  0.1293  0.0360
Co  0.8273  0.8707  0.9640
N  0.0044  0.5832  0.5153
N  0.9956  0.4168  0.4847
Cl  0.0000  0.5000  0.0000
Cl  0.3404  0.9743  0.8013
Cl  0.6596  0.0257  0.1987

Properties
total energy = -5.461 eV/atom
formation energy (no corrections) = -261 meV per atom
DOS at the Fermi energy = 3.76 states/eV/f.u.
spin magnetization = 5.000 μB/cell

(9)
# CuMo2Rh

An optimized crystal structure of CuMo2Rh (PBE-GGA, the Alexandria database).

Cell: 4.7337 4.7337 4.7337 Å, 131.43 131.43 71.14°
Atoms (fractional coordinates):
Cu  0.0000  0.0000  0.0000
Mo  0.2500  0.7500  0.5000
Mo  0.5000  0.5000  0.0000
Rh  0.7500  0.2500  0.5000

Properties
total energy = -8.121 eV/atom
DOS at the Fermi energy = 6.05 states/eV/f.u.
energy of formation from the pure elements = 0.157 eV/atom
spin magnetization = 0.000 μB/cell

(10)
# NdDyCdSn

An optimized crystal structure of NdDyCdSn (PBE-GGA, the Alexandria database).

Cell: 5.3651 5.3651 5.3651 Å, 60.00 60.00 60.00°
Atoms (fractional coordinates):
Nd  0.0000  0.0000  0.0000
Dy  0.5000  0.5000  0.5000
Cd  0.7500  0.7500  0.7500
Sn  0.2500  0.2500  0.2500

Properties
total energy = -4.085 eV/atom
DOS at the Fermi energy = 2.73 states/eV/f.u.
energy of formation from the pure elements = -0.513 eV/atom
spin magnetization = 0.000 μB/cell

(11)
# Ce2PuSn9

An optimized crystal structure of Ce2PuSn9 (PBE-GGA, the Alexandria database).

Cell: 4.7055 4.7055 14.0796 Å, 90.00 90.00 90.00°
Atoms (fractional coordinates):
Ce  0.0000  0.0000  0.1672
Ce  0.0000  0.0000  0.8328
Pu  0.0000  0.0000  0.5000
Sn  0.0000  0.5000  0.0000
Sn  0.0000  0.5000  0.3360
Sn  0.0000  0.5000  0.6640
Sn  0.5000  0.0000  0.0000
Sn  0.5000  0.0000  0.3360
Sn  0.5000  0.0000  0.6640
Sn  0.5000  0.5000  0.1683
Sn  0.5000  0.5000  0.5000
Sn  0.5000  0.5000  0.8317

Properties
total energy = -5.669 eV/atom
DOS at the Fermi energy = 17.56 states/eV/f.u.
energy of formation from the pure elements = -0.484 eV/atom
spin magnetization = 4.709 μB/cell

(12)
# Mg2Cd7Ag2

An optimized crystal structure of Mg2Cd7Ag2 (PBE-GGA, the Alexandria database).

Cell: 7.1409 7.1409 5.1968 Å, 108.05 108.05 86.72°
Atoms (fractional coordinates):
Mg  0.1805  0.1805  0.1189
Mg  0.8195  0.8195  0.8811
Cd  0.0000  0.0000  0.5000
Cd  0.0632  0.5871  0.3200
Cd  0.4129  0.9368  0.6800
Cd  0.4244  0.4244  0.6930
Cd  0.5756  0.5756  0.3070
Cd  0.5871  0.0632  0.3200
Cd  0.9368  0.4129  0.6800
Ag  0.2356  0.7644  0.0000
Ag  0.7644  0.2356  0.0000

Properties
total energy = -1.412 eV/atom
DOS at the Fermi energy = 2.32 states/eV/f.u.
excess energy over the best structure of this formula in the dataset = 30 meV/atom
energy of formation from the pure elements = -0.021 eV/atom
spin magnetization = 0.000 μB/cell

(13)
# LaTe2Pd2

An optimized crystal structure of LaTe2Pd2 (PBE-GGA, the Alexandria database).

Cell: 7.2381 7.2381 7.2381 Å, 145.66 145.66 49.35°
Atoms (fractional coordinates):
La  0.0000  0.0000  0.0000
Te  0.3776  0.3776  0.0000
Te  0.6224  0.6224  0.0000
Pd  0.2500  0.7500  0.5000
Pd  0.7500  0.2500  0.5000

Properties
total energy = -5.141 eV/atom
formation energy (no corrections) = -822 meV per atom
DOS at the Fermi energy = 2.61 states/eV/f.u.
excess energy over the best structure of this formula in the dataset = 124 meV/atom
spin magnetization = 0.000 μB/cell

(14)
# NaAc2PdO5

An optimized crystal structure of NaAc2PdO5 (PBE-GGA, the Alexandria database).

Cell: 7.9462 7.9462 7.9462 Å, 126.26 126.26 79.47°
Atoms (fractional coordinates):
Na  0.2500  0.2500  0.0000
Na  0.7500  0.7500  0.0000
Ac  0.1795  0.6795  0.8591
Ac  0.3205  0.1795  0.5000
Ac  0.6795  0.8205  0.5000
Ac  0.8205  0.3205  0.1409
Pd  0.2500  0.7500  0.5000
Pd  0.7500  0.2500  0.5000
O  0.0000  0.0000  0.0000
O  0.0063  0.2477  0.5000
O  0.2477  0.7477  0.2414
O  0.2523  0.4937  0.5000
O  0.4937  0.9937  0.2414
O  0.5000  0.5000  0.0000
O  0.5063  0.0063  0.7586
O  0.7477  0.5063  0.5000
O  0.7523  0.2523  0.7586
O  0.9937  0.7523  0.5000

Properties
total energy = -6.391 eV/atom
formation energy (no corrections) = -2000 meV per atom
DOS at the Fermi energy = 5.87 states/eV/f.u.
spin magnetization = 2.057 μB/cell

(15)
# Li8Re

An optimized crystal structure of Li8Re (PBE-GGA, the Alexandria database).

Cell: 7.5003 7.5003 7.5003 Å, 91.85 91.85 159.31°
Atoms (fractional coordinates):
Li  0.0000  0.3243  0.3243
Li  0.0000  0.6757  0.6757
Li  0.3243  0.0000  0.3243
Li  0.3404  0.3404  0.6809
Li  0.3404  0.6596  0.0000
Li  0.6596  0.3404  0.0000
Li  0.6596  0.6596  0.3191
Li  0.6757  0.0000  0.6757
Re  0.0000  0.0000  0.0000

Properties
total energy = -2.842 eV/atom
DOS at the Fermi energy = 5.68 states/eV/f.u.
energy of formation from the pure elements = 0.242 eV/atom
spin magnetization = 0.486 μB/cell

(16)
# Ca2AlAsP

An optimized crystal structure of Ca2AlAsP (PBE-GGA, the Alexandria database).

Cell: 7.8749 3.7377 9.0049 Å, 90.00 115.28 90.00°
Atoms (fractional coordinates):
Ca  0.1431  0.2500  0.4288
Ca  0.2069  0.2500  0.9590
Ca  0.7931  0.7500  0.0410
Ca  0.8569  0.7500  0.5712
Al  0.4603  0.2500  0.3514
Al  0.5397  0.7500  0.6486
As  0.2707  0.7500  0.7227
As  0.7293  0.2500  0.2773
P  0.2221  0.7500  0.2089
P  0.7779  0.2500  0.7911

Properties
total energy = -4.360 eV/atom
DOS at the Fermi energy = 0.84 states/eV/f.u.
energy of formation from the pure elements = -0.798 eV/atom
spin magnetization = 0.000 μB/cell

(17)
# Tb5Sm2In5

An optimized crystal structure of Tb5Sm2In5 (PBE-GGA, the Alexandria database).

Cell: 6.4608 6.4608 12.0234 Å, 107.47 107.47 46.95°
Atoms (fractional coordinates):
Tb  0.0000  0.0000  0.0000
Tb  0.1326  0.1326  0.7780
Tb  0.1524  0.1524  0.5038
Tb  0.8476  0.8476  0.4962
Tb  0.8674  0.8674  0.2220
Sm  0.4285  0.4285  0.7424
Sm  0.5715  0.5715  0.2576
In  0.2410  0.2410  0.2784
In  0.3299  0.3299  0.0347
In  0.5000  0.5000  0.5000
In  0.6701  0.6701  0.9653
In  0.7590  0.7590  0.7216

Properties
total energy = -4.167 eV/atom
DOS at the Fermi energy = 12.45 states/eV/f.u.
energy of formation from the pure elements = -0.310 eV/atom
spin magnetization = 0.000 μB/cell

(18)
# Cd2InTc

An optimized crystal structure of Cd2InTc (PBE-GGA, the Alexandria database).

Cell: 3.5630 3.5630 6.2226 Å, 90.00 90.00 90.00°
Atoms (fractional coordinates):
Cd  0.0000  0.0000  0.0000
Cd  0.5000  0.5000  0.2544
In  0.0000  0.0000  0.5445
Tc  0.5000  0.5000  0.7482

Properties
total energy = -3.390 eV/atom
DOS at the Fermi energy = 3.74 states/eV/f.u.
energy of formation from the pure elements = 0.344 eV/atom
spin magnetization = 0.524 μB/cell

(19)
# SrAsPtSe2

An optimized crystal structure of SrAsPtSe2 (PBE-GGA, the Alexandria database).

Cell: 5.5831 5.5831 5.6729 Å, 90.00 90.00 90.00°
Atoms (fractional coordinates):
Sr  0.0000  0.0000  0.0000
As  0.0000  0.0000  0.5000
Pt  0.5000  0.5000  0.5000
Se  0.0000  0.5000  0.0000
Se  0.5000  0.0000  0.0000

Properties
total energy = -2.735 eV/atom
formation energy (no corrections) = 1133 meV per atom
DOS at the Fermi energy = 8.30 states/eV/f.u.
excess energy over the best structure of this formula in the dataset = 1657 meV/atom
spin magnetization = 0.227 μB/cell

(20)
# ZrV2Sn2

An optimized crystal structure of ZrV2Sn2 (PBE-GGA, the Alexandria database).

Cell: 5.5769 5.5769 5.5769 Å, 129.44 129.44 74.31°
Atoms (fractional coordinates):
Zr  0.0000  0.0000  0.0000
V  0.3961  0.3961  0.0000
V  0.6039  0.6039  0.0000
Sn  0.2500  0.7500  0.5000
Sn  0.7500  0.2500  0.5000

Properties
total energy = -6.784 eV/atom
DOS at the Fermi energy = 2.00 states/eV/f.u.
excess energy over the best structure of this formula in the dataset = 145 meV/atom
energy of formation from the pure elements = 0.174 eV/atom
spin magnetization = 0.000 μB/cell

(21)
# Pm5AlSi3

An optimized crystal structure of Pm5AlSi3 (PBE-GGA, the Alexandria database).

Cell: 9.0438 9.0438 6.3828 Å, 90.00 90.00 120.00°
Atoms (fractional coordinates):
Pm  0.0000  0.2831  0.2500
Pm  0.0000  0.7169  0.7500
Pm  0.2831  0.0000  0.2500
Pm  0.2831  0.2831  0.7500
Pm  0.3333  0.6667  0.0000
Pm  0.3333  0.6667  0.5000
Pm  0.6667  0.3333  0.0000
Pm  0.6667  0.3333  0.5000
Pm  0.7169  0.0000  0.7500
Pm  0.7169  0.7169  0.2500
Al  0.0000  0.0000  0.0000
Al  0.0000  0.0000  0.5000
Si  0.0000  0.3700  0.7500
Si  0.0000  0.6300  0.2500
Si  0.3700  0.0000  0.7500
Si  0.3700  0.3700  0.2500
Si  0.6300  0.0000  0.2500
Si  0.6300  0.6300  0.7500

Properties
total energy = -5.344 eV/atom
formation energy (no corrections) = -482 meV per atom
DOS at the Fermi energy = 10.10 states/eV/f.u.
spin magnetization = 0.002 μB/cell

(22)
# Pr3Mo2C4

An optimized crystal structure of Pr3Mo2C4 (PBE-GGA, the Alexandria database).

Cell: 7.3889 7.3889 5.8707 Å, 91.04 91.04 75.04°
Atoms (fractional coordinates):
Pr  0.1000  0.9000  0.7500
Pr  0.2517  0.5121  0.4636
Pr  0.4879  0.7483  0.0364
Pr  0.5121  0.2517  0.9636
Pr  0.7483  0.4879  0.5364
Pr  0.9000  0.1000  0.2500
Mo  0.0825  0.3220  0.9094
Mo  0.3220  0.0825  0.4094
Mo  0.6780  0.9175  0.5906
Mo  0.9175  0.6780  0.0906
C  0.0943  0.2381  0.5837
C  0.1949  0.5492  0.9748
C  0.2381  0.0943  0.0837
C  0.4508  0.8051  0.5252
C  0.5492  0.1949  0.4748
C  0.7619  0.9057  0.9163
C  0.8051  0.4508  0.0252
C  0.9057  0.7619  0.4163

Properties
total energy = -8.118 eV/atom
DOS at the Fermi energy = 4.33 states/eV/f.u.
energy of formation from the pure elements = -0.018 eV/atom
spin magnetization = 0.000 μB/cell

(23)
# NpAg2F8

An optimized crystal structure of NpAg2F8 (PBE-GGA, the Alexandria database).

Cell: 7.3083 7.3083 4.3485 Å, 90.01 90.01 60.07°
Atoms (fractional coordinates):
Np  0.0000  0.0000  0.0000
Ag  0.3336  0.3336  0.7203
Ag  0.6664  0.6664  0.2797
F  0.1373  0.1373  0.7459
F  0.1375  0.7258  0.7459
F  0.2742  0.8625  0.2541
F  0.3336  0.3336  0.2214
F  0.6664  0.6664  0.7786
F  0.7258  0.1375  0.7459
F  0.8625  0.2742  0.2541
F  0.8627  0.8627  0.2541

Properties
total energy = -5.317 eV/atom
formation energy (no corrections) = -2261 meV per atom
DOS at the Fermi energy = 10.13 states/eV/f.u.
excess energy over the best structure of this formula in the dataset = 0 meV/atom
spin magnetization = 1.809 μB/cell